Tc2AgRu | Alexandria via LeMat-Bulk | GGA-PBE | relaxed; magnetic moment = 0.00 μB/f.u.; energy = -7.62 eV/atom
1.0
0.0000 3.1207 3.1207
3.1207 0.0000 3.1207
3.1207 3.1207 0.0000
Tc Ag Ru
2 1 1
direct
0.0000 0.0000 0.0000
0.2500 0.2500 0.2500
0.5000 0.5000 0.5000
0.7500 0.7500 0.7500